Entry from Alexandria: a geometry-optimized SmDyPa2N4 structure (GGA-PBE).

DFT total energy: -9.332 eV/atom
symmetry: P2/m, No. 10
spin magnetization: 0.000 μB per formula unit
DOS(E_F): 0.508 states/eV/atom

a = 6.084 Å, b = 3.515 Å, c = 6.101 Å
α = 90.00°, β = 109.56°, γ = 90.00°
Atoms (fractional coordinates):
Sm: 0.000 0.000 0.000
Dy: 0.000 0.500 0.500
Pa: 0.500 0.000 0.500
Pa: 0.500 0.500 0.000
N: 0.267 0.000 0.750
N: 0.272 0.500 0.264
N: 0.728 0.500 0.736
N: 0.733 0.000 0.250



Entry from Alexandria: a geometry-optimized Sm3DyPa3N8 structure (GGA-PBE).

DFT total energy: -9.064 eV/atom
symmetry: R-3m, No. 166
spin magnetization: 0.000 μB per formula unit
DOS(E_F): 0.287 states/eV/atom

a = 7.032 Å, b = 7.032 Å, c = 7.032 Å
α = 60.01°, β = 60.01°, γ = 60.01°
Atoms (fractional coordinates):
Sm: 0.000 0.500 0.500
Sm: 0.500 0.000 0.500
Sm: 0.500 0.500 0.000
Dy: 0.500 0.500 0.500
Pa: 0.000 0.000 0.500
Pa: 0.000 0.500 0.000
Pa: 0.500 0.000 0.000
N: 0.234 0.737 0.737
N: 0.243 0.243 0.243
N: 0.263 0.263 0.766
N: 0.263 0.766 0.263
N: 0.737 0.234 0.737
N: 0.737 0.737 0.234
N: 0.757 0.757 0.757
N: 0.766 0.263 0.263



Entry from Alexandria: a geometry-optimized Sr4DyPa3N8 structure (GGA-PBE).

DFT total energy: -8.023 eV/atom
symmetry: R-3m, No. 166
spin magnetization: 0.000 μB per formula unit
DOS(E_F): 0.493 states/eV/atom

a = 7.304 Å, b = 7.304 Å, c = 7.304 Å
α = 59.08°, β = 59.08°, γ = 59.08°
Atoms (fractional coordinates):
Sr: 0.000 0.000 0.000
Sr: 0.000 0.500 0.500
Sr: 0.500 0.000 0.500
Sr: 0.500 0.500 0.000
Dy: 0.500 0.500 0.500
Pa: 0.000 0.000 0.500
Pa: 0.000 0.500 0.000
Pa: 0.500 0.000 0.000
N: 0.217 0.740 0.740
N: 0.232 0.232 0.232
N: 0.260 0.260 0.783
N: 0.260 0.783 0.260
N: 0.740 0.217 0.740
N: 0.740 0.740 0.217
N: 0.768 0.768 0.768
N: 0.783 0.260 0.260



Entry from Alexandria: a geometry-optimized Sr3DyPa2N6 structure (GGA-PBE).

DFT total energy: -7.937 eV/atom
symmetry: C2/m, No. 12
spin magnetization: 0.000 μB per formula unit
DOS(E_F): 0.360 states/eV/atom

a = 6.227 Å, b = 6.227 Å, c = 6.362 Å
α = 99.39°, β = 99.39°, γ = 119.98°
Atoms (fractional coordinates):
Sr: 0.000 0.000 0.000
Sr: 0.336 0.664 0.000
Sr: 0.664 0.336 0.000
Dy: 0.500 0.500 0.500
Pa: 0.167 0.833 0.500
Pa: 0.833 0.167 0.500
N: 0.084 0.433 0.300
N: 0.217 0.217 0.699
N: 0.433 0.084 0.300
N: 0.567 0.916 0.700
N: 0.783 0.783 0.301
N: 0.916 0.567 0.700



What is the DFT total energy in the second record? -9.064 eV/atom



Which of these has the highest DOS(E_F)? SmDyPa2N4